[1]
# LiNd2Co PBE-GGA relaxed
# Density of states at the Fermi level ... 2.471 states/eV/f.u.
# Formation energy ... 18 kJ/mol of formula units
data_LiNd2Co
_chemical_formula_sum 'Li3 Nd6 Co3'
_space_group_name_H-M_alt 'R 3 m'
_space_group_IT_number 160
_space_group_name_Hall 'R 3 -2"'
_cell_length_a 3.9478
_cell_length_b 3.9478
_cell_length_c 25.3998
_cell_angle_alpha 90.00
_cell_angle_beta 90.00
_cell_angle_gamma 120.00
loop_
_atom_site_label
_atom_site_type_symbol
_atom_site_fract_x
_atom_site_fract_y
_atom_site_fract_z
Li1 Li 0.0000 0.0000 0.0000
Nd1 Nd 0.0000 0.0000 0.2280
Nd2 Nd 0.0000 0.0000 0.4426
Co1 Co 0.0000 0.0000 0.8357

[2]
# Na3Cu4Te4 PBE-GGA relaxed
# Density of states at the Fermi level ... 3.047 states/eV/f.u.
# Excess energy over the best structure of this formula in the dataset ... 0.0349 eV per atom
# Formation energy (no corrections) ... -0.340 eV per atom
data_Na3Cu4Te4
_chemical_formula_sum 'Na6 Cu8 Te8'
_space_group_name_H-M_alt 'I m m m'
_space_group_IT_number 71
_space_group_name_Hall '-I 2 2'
_cell_length_a 4.600
_cell_length_b 7.183
_cell_length_c 14.852
_cell_angle_alpha 90.00
_cell_angle_beta 90.00
_cell_angle_gamma 90.00
loop_
_atom_site_label
_atom_site_type_symbol
_atom_site_fract_x
_atom_site_fract_y
_atom_site_fract_z
Na1 Na 0.000 0.000 0.000
Na2 Na 0.000 0.500 0.115
Cu1 Cu 0.000 0.319 0.327
Te1 Te 0.000 0.000 0.228
Te2 Te 0.000 0.229 0.500

[3]
# CaGaPdPt PBE-GGA relaxed
# Density of states at the Fermi level ... 1.243 states/eV/f.u.
# Excess energy over the best structure of this formula in the dataset ... 0.0554 eV per atom
# Formation energy ... -229 kJ/mol of formula units
data_CaGaPdPt
_chemical_formula_sum 'Ca2 Ga2 Pd2 Pt2'
_space_group_name_H-M_alt 'A m m 2'
_space_group_IT_number 38
_cell_length_a 4.620
_cell_length_b 3.158
_cell_length_c 10.238
_cell_angle_alpha 90.00
_cell_angle_beta 90.00
_cell_angle_gamma 90.00
loop_
_space_group_symop_operation_xyz
'x,y,z'
'-x,-y,z'
'-x,y,z'
'x,-y,z'
'x,y+1/2,z+1/2'
'-x,-y+1/2,z+1/2'
'-x,y+1/2,z+1/2'
'x,-y+1/2,z+1/2'
loop_
_atom_site_label
_atom_site_type_symbol
_atom_site_fract_x
_atom_site_fract_y
_atom_site_fract_z
Ca1 Ca 0.000 0.000 0.000
Ga1 Ga 0.500 0.000 0.644
Pd1 Pd 0.500 0.000 0.362
Pt1 Pt 0.000 0.000 0.737

[4]
# Zr2CoHg PBE-GGA relaxed
# Density of states at the Fermi level ... 3.644 states/eV/f.u.
# Formation energy ... -33 kJ/mol of formula units
data_Zr2CoHg
_chemical_formula_sum 'Zr2 Co1 Hg1'
_space_group_name_H-M_alt 'P 4 m m'
_space_group_IT_number 99
_cell_length_a 3.288
_cell_length_b 3.288
_cell_length_c 7.085
_cell_angle_alpha 90.00
_cell_angle_beta 90.00
_cell_angle_gamma 90.00
loop_
_space_group_symop_operation_xyz
'x,y,z'
'-y,x,z'
'-x,-y,z'
'y,-x,z'
'-x,y,z'
'y,x,z'
'x,-y,z'
'-y,-x,z'
loop_
_atom_site_label
_atom_site_type_symbol
_atom_site_fract_x
_atom_site_fract_y
_atom_site_fract_z
Zr1 Zr 0.000 0.000 0.000
Zr2 Zr 0.500 0.500 0.293
Co1 Co 0.000 0.000 0.477
Hg1 Hg 0.500 0.500 0.717

[5]
# LiReBr2 PBE-GGA relaxed
# Density of states at the Fermi level ... 0.291 states/eV/f.u.
# Excess energy over the best structure of this formula in the dataset ... 0.0782 eV per atom
# Formation energy (no corrections) ... 0.217 eV per atom
data_LiReBr2
_chemical_formula_sum 'Li1 Re1 Br2'
_space_group_name_H-M_alt 'P 4 m m'
_space_group_IT_number 99
_cell_length_a 3.252
_cell_length_b 3.252
_cell_length_c 7.560
_cell_angle_alpha 90.00
_cell_angle_beta 90.00
_cell_angle_gamma 90.00
loop_
_space_group_symop_operation_xyz
'x,y,z'
'-y,x,z'
'-x,-y,z'
'y,-x,z'
'-x,y,z'
'y,x,z'
'x,-y,z'
'-y,-x,z'
loop_
_atom_site_label
_atom_site_type_symbol
_atom_site_fract_x
_atom_site_fract_y
_atom_site_fract_z
Li1 Li 0.000 0.000 0.000
Re1 Re 0.500 0.500 0.238
Br1 Br 0.000 0.000 0.406
Br2 Br 0.500 0.500 0.881

[6]
# ScMo2Cl PBE-GGA relaxed
# Density of states at the Fermi level ... 3.574 states/eV/f.u.
# Excess energy over the best structure of this formula in the dataset ... 0.0311 eV per atom
# Formation energy (no corrections) ... -0.198 eV per atom
data_ScMo2Cl
_chemical_formula_sum 'Sc3 Mo6 Cl3'
_space_group_name_H-M_alt 'R 3 m'
_space_group_IT_number 160
_space_group_name_Hall 'R 3 -2"'
_cell_length_a 3.1729
_cell_length_b 3.1729
_cell_length_c 26.4684
_cell_angle_alpha 90.00
_cell_angle_beta 90.00
_cell_angle_gamma 120.00
loop_
_atom_site_label
_atom_site_type_symbol
_atom_site_fract_x
_atom_site_fract_y
_atom_site_fract_z
Sc1 Sc 0.0000 0.0000 0.0000
Mo1 Mo 0.0000 0.0000 0.2478
Mo2 Mo 0.0000 0.0000 0.5149
Cl1 Cl 0.0000 0.0000 0.7350

[7]
# KAl2Hg PBE-GGA relaxed
# Density of states at the Fermi level ... 0.830 states/eV/f.u.
# Formation energy ... 31 kJ/mol of formula units
data_KAl2Hg
_chemical_formula_sum 'K1 Al2 Hg1'
_space_group_name_H-M_alt 'P m m 2'
_space_group_IT_number 25
_cell_length_a 3.085
_cell_length_b 4.162
_cell_length_c 8.020
_cell_angle_alpha 90.00
_cell_angle_beta 90.00
_cell_angle_gamma 90.00
loop_
_space_group_symop_operation_xyz
'x,y,z'
'-x,-y,z'
'-x,y,z'
'x,-y,z'
loop_
_atom_site_label
_atom_site_type_symbol
_atom_site_fract_x
_atom_site_fract_y
_atom_site_fract_z
K1 K 0.000 0.000 0.000
Al1 Al 0.000 0.000 0.460
Al2 Al 0.500 0.500 0.329
Hg1 Hg 0.500 0.500 0.695

| no. | total energy (hartree per atom) |
| --- | --- |
| 1 | -0.169 |
| 2 | -0.122 |
| 3 | -0.171 |
| 4 | -0.228 |
| 5 | -0.155 |
| 6 | -0.281 |
| 7 | -0.079 |